1.
This record from OQMD via LeMat-Bulk describes a geometry-optimized Sc4AsAuN2 structure. The functional is PBE.

For the energy, the calculation gives -7.56 eV/atom. Its crystal system is hexagonal.

Unit cell a=3.2738 b=3.2738 c=13.4183 alpha=90.00 beta=90.00 gamma=120.00
With the nearest neighbours (Å) after each atom.
Atoms (fractional coordinates):
Sc (0.0000, 0.0000, 0.1522)  3 N 2.22
Sc (0.0000, 0.0000, 0.8478)  3 N 2.22
Sc (0.3333, 0.6667, 0.3356)  3 N 2.29
Sc (0.3333, 0.6667, 0.6644)  3 N 2.29
As (0.3333, 0.6667, 0.0000)  6 Sc 2.78
Au (0.0000, 0.0000, 0.5000)  6 Sc 2.90
N (0.6667, 0.3333, 0.2397)  6 Sc 2.22-2.29
N (0.6667, 0.3333, 0.7603)  6 Sc 2.22-2.29

2.
This record from OQMD via LeMat-Bulk describes a geometry-optimized AsW4AuN2 structure. The functional is PBE.

For the energy, the calculation gives -9.27 eV/atom. Its crystal system is hexagonal.

Unit cell a=2.8991 b=2.8991 c=14.6081 alpha=90.00 beta=90.00 gamma=120.00
With the nearest neighbours (Å) after each atom.
Atoms (fractional coordinates):
As (0.0000, 0.0000, 0.0000)  6 W 2.65, 6 As 2.90
W (0.0000, 0.0000, 0.3352)  3 N 2.18
W (0.0000, 0.0000, 0.6648)  3 N 2.18
W (0.6667, 0.3333, 0.1408)  3 N 2.21
W (0.6667, 0.3333, 0.8592)  3 N 2.21
Au (0.6667, 0.3333, 0.5000)  6 Au 2.90, 6 W 2.93
N (0.3333, 0.6667, 0.2395)  6 W 2.18-2.21
N (0.3333, 0.6667, 0.7605)  6 W 2.18-2.21

3.
This record from OQMD via LeMat-Bulk describes a geometry-optimized Na3As2Au3 structure. The functional is PBE.

For the energy, the calculation gives -3.27 eV/atom. Its crystal system is trigonal.

Unit cell a=7.2731 b=7.2731 c=7.2731 alpha=46.84 beta=46.84 gamma=46.84
With the nearest neighbours (Å) after each atom.
Atoms (fractional coordinates):
Na (0.0000, 0.0000, 0.0000)  6 As 3.58, 6 Au 3.64, 6 Na 3.70
Na (0.4159, 0.4159, 0.4159)  1 As 2.89
Na (0.5841, 0.5841, 0.5841)  1 As 2.89
As (0.2667, 0.2667, 0.2667)  3 Au 2.56
As (0.7333, 0.7333, 0.7333)  3 Au 2.56
Au (0.0000, 0.0000, 0.5000)  2 As 2.56
Au (0.0000, 0.5000, 0.0000)  2 As 2.56
Au (0.5000, 0.0000, 0.0000)  2 As 2.56

4.
This record from OQMD via LeMat-Bulk describes a geometry-optimized NaAsAu structure. The functional is PBE.

For the energy, the calculation gives -2.78 eV/atom. Its crystal system is cubic.

Unit cell a=4.5217 b=4.5217 c=4.5217 alpha=60.00 beta=60.00 gamma=60.00
With the nearest neighbours (Å) after each atom.
Atoms (fractional coordinates):
Na (0.0000, 0.0000, 0.0000)  4 As 2.77, 4 Au 2.77
As (0.7500, 0.7500, 0.7500)  4 Na 2.77
Au (0.2500, 0.2500, 0.2500)  4 Na 2.77

5.
This record from OQMD via LeMat-Bulk describes a geometry-optimized NaAs5Au3 structure. The functional is PBE.

For the energy, the calculation gives -3.54 eV/atom. Its crystal system is hexagonal.

Unit cell a=5.3540 b=5.3540 c=8.8589 alpha=90.00 beta=90.00 gamma=120.00
With the nearest neighbours (Å) after each atom.
Atoms (fractional coordinates):
Na (0.0000, 0.0000, 0.0000)  12 As 3.33
As (0.0000, 0.0000, 0.5000)  6 Au 2.68
As (0.3333, 0.6667, 0.1395)  1 As 2.47
As (0.3333, 0.6667, 0.8605)  1 As 2.47
As (0.6667, 0.3333, 0.1395)  1 As 2.47
As (0.6667, 0.3333, 0.8605)  1 As 2.47
Au (0.0000, 0.5000, 0.5000)  2 As 2.68, 4 Au 2.68
Au (0.5000, 0.0000, 0.5000)  2 As 2.68, 4 Au 2.68
Au (0.5000, 0.5000, 0.5000)  4 Au 2.68, 2 As 2.68

6.
This record from OQMD via LeMat-Bulk describes a geometry-optimized NaAs2Au4 structure. The functional is PBE.

For the energy, the calculation gives -3.47 eV/atom. Its crystal system is trigonal.

Unit cell a=8.6075 b=8.6075 c=8.6075 alpha=30.43 beta=30.43 gamma=30.43
With the nearest neighbours (Å) after each atom.
Atoms (fractional coordinates):
Na (0.0000, 0.0000, 0.0000)  6 As 3.24, 8 Au 3.39-3.57
As (0.2555, 0.2555, 0.2555)  4 Au 2.62-2.72
As (0.7445, 0.7445, 0.7445)  4 Au 2.62-2.72
Au (0.1451, 0.1451, 0.1451)  1 As 2.72, 6 Au 2.82-2.97
Au (0.4210, 0.4210, 0.4210)  3 As 2.62
Au (0.5790, 0.5790, 0.5790)  3 As 2.62
Au (0.8549, 0.8549, 0.8549)  1 As 2.72, 6 Au 2.82-2.97

7.
This record from OQMD via LeMat-Bulk describes a geometry-optimized NaAs2Au2 structure. The functional is PBE.

For the energy, the calculation gives -3.58 eV/atom. Its crystal system is tetragonal.

Unit cell a=6.3062 b=6.3062 c=6.3062 alpha=138.57 beta=138.57 gamma=60.03
With the nearest neighbours (Å) after each atom.
Atoms (fractional coordinates):
Na (0.0000, 0.0000, 0.0000)  8 As 3.39, 8 Au 3.53
As (0.3869, 0.3869, 0.0000)  1 As 2.47, 4 Au 2.69
As (0.6131, 0.6131, 0.0000)  1 As 2.47, 4 Au 2.69
Au (0.2500, 0.7500, 0.5000)  4 As 2.69
Au (0.7500, 0.2500, 0.5000)  4 As 2.69

8.
This record from OQMD via LeMat-Bulk describes a geometry-optimized NaAsAu structure. The functional is PBE.

For the energy, the calculation gives -3.25 eV/atom. Its crystal system is cubic.

Unit cell a=4.5240 b=4.5240 c=4.5240 alpha=60.00 beta=60.00 gamma=60.00
With the nearest neighbours (Å) after each atom.
Atoms (fractional coordinates):
Na (0.0000, 0.0000, 0.0000)  4 Au 2.77
As (0.5000, 0.5000, 0.5000)  4 Au 2.77
Au (0.7500, 0.7500, 0.7500)  4 As 2.77, 4 Na 2.77

9.
This record from OQMD via LeMat-Bulk describes a geometry-optimized NaAsAuO structure. The functional is PBE.

For the energy, the calculation gives -3.99 eV/atom. Its crystal system is orthorhombic. For the offset from the most stable computed form, the calculation gives 0 meV/atom.

Unit cell a=3.2985 b=8.0654 c=5.5511 alpha=90.00 beta=90.00 gamma=90.00
With the nearest neighbours (Å) after each atom.
Atoms (fractional coordinates):
Na (0.0000, 0.0847, 0.0000)  4 O 2.31-2.35
Na (0.0000, 0.9153, 0.5000)  4 O 2.31-2.35
As (0.0000, 0.4837, 0.6192)  2 Au 2.49, 2 As 2.79
As (0.0000, 0.5163, 0.1192)  2 Au 2.49, 2 As 2.79
Au (0.5000, 0.2711, 0.4858)  1 O 1.97
Au (0.5000, 0.7289, 0.9858)  1 O 1.97
O (0.5000, 0.0660, 0.2914)  1 Au 1.97
O (0.5000, 0.9340, 0.7914)  1 Au 1.97

10.
This record from OQMD via LeMat-Bulk describes a geometry-optimized NaAsAuO structure. The functional is PBE.

For the energy, the calculation gives -3.80 eV/atom. Its crystal system is tetragonal. For the offset from the most stable computed form, the calculation gives 186 meV/atom.

Unit cell a=4.2468 b=4.2468 c=6.7285 alpha=90.00 beta=90.00 gamma=90.00
With the nearest neighbours (Å) after each atom.
Atoms (fractional coordinates):
Na (0.2500, 0.2500, 0.1509)  4 O 2.35
Na (0.7500, 0.7500, 0.8491)  4 O 2.35
As (0.2500, 0.2500, 0.7510)  1 Na 2.69, 4 O 2.70, 4 Au 2.71
As (0.7500, 0.7500, 0.2490)  1 Na 2.69, 4 O 2.70, 4 Au 2.71
Au (0.2500, 0.7500, 0.5000)  4 As 2.71, 4 Au 3.00
Au (0.7500, 0.2500, 0.5000)  4 As 2.71, 4 Au 3.00
O (0.2500, 0.7500, 0.0000)  4 Na 2.35
O (0.7500, 0.2500, 0.0000)  4 Na 2.35

11.
This record from OQMD via LeMat-Bulk describes a geometry-optimized NaAsAuO structure. The functional is PBE.

For the energy, the calculation gives -3.78 eV/atom. Its crystal system is orthorhombic. For the offset from the most stable computed form, the calculation gives 210 meV/atom.

Unit cell a=3.9994 b=7.3991 c=4.8982 alpha=90.00 beta=90.00 gamma=90.00
With the nearest neighbours (Å) after each atom.
Atoms (fractional coordinates):
Na (0.0000, 0.1661, 0.0000)  2 O 2.21-2.38
Na (0.0000, 0.8339, 0.5000)  2 O 2.21-2.38
As (0.5000, 0.4626, 0.9105)  2 As 2.51, 1 Au 2.64
As (0.5000, 0.5374, 0.4105)  2 As 2.51, 1 Au 2.64
Au (0.5000, 0.1859, 0.5040)  2 O 2.04
Au (0.5000, 0.8141, 0.0040)  2 O 2.04
O (0.0000, 0.1320, 0.4828)  2 Au 2.04, 1 Na 2.21
O (0.0000, 0.8680, 0.9828)  2 Au 2.04, 1 Na 2.21

12.
This record from OQMD via LeMat-Bulk describes a geometry-optimized NaAsAuO structure. The functional is PBE.

For the energy, the calculation gives -3.65 eV/atom. Its crystal system is tetragonal. For the offset from the most stable computed form, the calculation gives 332 meV/atom.

Unit cell a=4.2536 b=4.2536 c=8.2193 alpha=90.00 beta=90.00 gamma=90.00
With the nearest neighbours (Å) after each atom.
Atoms (fractional coordinates):
Na (0.2500, 0.7500, 0.0000)  4 Au 2.90, 4 Na 3.01
Na (0.7500, 0.2500, 0.0000)  4 Au 2.90, 4 Na 3.01
As (0.2500, 0.2500, 0.4286)  4 O 2.21
As (0.7500, 0.7500, 0.5714)  4 O 2.21
Au (0.2500, 0.2500, 0.7600)  1 As 2.72, 4 Na 2.90, 4 O 3.02
Au (0.7500, 0.7500, 0.2400)  1 As 2.72, 4 Na 2.90, 4 O 3.02
O (0.2500, 0.7500, 0.5000)  4 As 2.21
O (0.7500, 0.2500, 0.5000)  4 As 2.21

13.
This record from OQMD via LeMat-Bulk describes a geometry-optimized Na4As2PdAu structure. The functional is PBE.

For the energy, the calculation gives -3.34 eV/atom. Its crystal system is monoclinic. For the offset from the most stable computed form, the calculation gives 0 meV/atom.

Unit cell a=5.6477 b=5.6477 c=5.5437 alpha=90.24 beta=90.24 gamma=102.96
With the nearest neighbours (Å) after each atom.
Atoms (fractional coordinates):
Na (0.0253, 0.6644, 0.7470)  4 As 2.99-3.27, 3 Na 3.19-3.35, 2 Pd 3.20-3.33, 2 Au 3.23-3.33
Na (0.3356, 0.9747, 0.2530)  4 As 2.99-3.27, 3 Na 3.19-3.35, 2 Pd 3.20-3.33, 2 Au 3.23-3.33
Na (0.6644, 0.0253, 0.7470)  4 As 2.99-3.27, 3 Na 3.19-3.35, 2 Pd 3.20-3.33, 2 Au 3.23-3.33
Na (0.9747, 0.3356, 0.2530)  4 As 2.99-3.27, 3 Na 3.19-3.35, 2 Pd 3.20-3.33, 2 Au 3.23-3.33
As (0.2044, 0.2044, 0.7415)  1 Pd 2.48, 1 Au 2.52
As (0.7956, 0.7956, 0.2585)  1 Pd 2.48, 1 Au 2.52
Pd (0.5000, 0.5000, 0.5000)  2 As 2.48, 2 Au 2.77
Au (0.5000, 0.5000, 0.0000)  2 As 2.52, 2 Pd 2.77

14.
This record from OQMD via LeMat-Bulk describes a geometry-optimized Na4As2PdAu structure. The functional is PBE.

For the energy, the calculation gives -3.17 eV/atom. Its crystal system is tetragonal. For the offset from the most stable computed form, the calculation gives 164 meV/atom.

Unit cell a=4.7074 b=4.7074 c=6.6813 alpha=90.00 beta=90.00 gamma=90.00
With the nearest neighbours (Å) after each atom.
Atoms (fractional coordinates):
Na (0.0000, 0.0000, 0.0000)  4 As 2.84, 4 Na 2.88
Na (0.0000, 0.5000, 0.2472)  2 Pd 2.88, 4 Na 2.88-2.90, 2 Au 2.90
Na (0.5000, 0.0000, 0.7528)  2 Pd 2.88, 4 Na 2.88-2.90, 2 Au 2.90
Na (0.5000, 0.5000, 0.5000)  4 Na 2.90, 4 As 2.93
As (0.0000, 0.5000, 0.7614)  2 Pd 2.84, 4 Na 2.84-2.93, 2 Au 2.93
As (0.5000, 0.0000, 0.2386)  2 Pd 2.84, 4 Na 2.84-2.93, 2 Au 2.93
Pd (0.5000, 0.5000, 0.0000)  4 As 2.84, 4 Na 2.88
Au (0.0000, 0.0000, 0.5000)  4 Na 2.90, 4 As 2.93

15.
This record from OQMD via LeMat-Bulk describes a geometry-optimized Na4As2PtAu structure. The functional is PBE.

For the energy, the calculation gives -3.46 eV/atom. Its crystal system is monoclinic.

Unit cell a=5.6504 b=5.6504 c=5.5500 alpha=90.07 beta=90.07 gamma=103.11
With the nearest neighbours (Å) after each atom.
Atoms (fractional coordinates):
Na (0.0243, 0.6628, 0.7451)  4 As 2.99-3.30, 2 Pt 3.20-3.32, 2 Na 3.20-3.26, 2 Au 3.23-3.34
Na (0.3372, 0.9757, 0.2549)  4 As 2.99-3.30, 2 Pt 3.20-3.32, 2 Na 3.20-3.26, 2 Au 3.23-3.34
Na (0.6628, 0.0243, 0.7451)  4 As 2.99-3.30, 2 Pt 3.20-3.32, 2 Na 3.20-3.26, 2 Au 3.23-3.34
Na (0.9757, 0.3372, 0.2549)  4 As 2.99-3.30, 2 Pt 3.20-3.32, 2 Na 3.20-3.26, 2 Au 3.23-3.34
As (0.2045, 0.2045, 0.7384)  1 Pt 2.46, 1 Au 2.53
As (0.7955, 0.7955, 0.2616)  1 Pt 2.46, 1 Au 2.53
Pt (0.5000, 0.5000, 0.5000)  2 As 2.46
Au (0.5000, 0.5000, 0.0000)  2 As 2.53, 2 Pt 2.77

16.
This record from OQMD via LeMat-Bulk describes a geometry-optimized RbNaAsAu structure. The functional is PBE.

For the energy, the calculation gives -2.99 eV/atom. Its crystal system is orthorhombic. For the offset from the most stable computed form, the calculation gives 19 meV/atom.

Unit cell a=6.3550 b=6.1713 c=6.1713 alpha=75.20 beta=90.00 gamma=90.00
With the nearest neighbours (Å) after each atom.
Atoms (fractional coordinates):
Rb (0.2500, 0.1562, 0.8438)  4 As 3.38-3.61, 3 Na 3.45-3.77, 4 Au 3.52-3.68
Rb (0.7500, 0.8438, 0.1562)  4 As 3.38-3.61, 3 Na 3.45-3.77, 4 Au 3.52-3.68
Na (0.2500, 0.5071, 0.1992)  1 As 3.12, 1 Rb 3.45, 2 Au 3.48
Na (0.7500, 0.1992, 0.5071)  1 As 3.12, 1 Rb 3.45, 2 Au 3.48
As (0.2500, 0.9201, 0.4027)  2 Au 2.52
As (0.7500, 0.4027, 0.9201)  2 Au 2.52
Au (0.0000, 0.6823, 0.6823)  2 As 2.52
Au (0.5000, 0.6823, 0.6823)  2 As 2.52

17.
This record from OQMD via LeMat-Bulk describes a geometry-optimized RbNaAsAu structure. The functional is PBE.

For the energy, the calculation gives -2.46 eV/atom. Its crystal system is cubic. For the offset from the most stable computed form, the calculation gives 552 meV/atom.

Unit cell a=5.3901 b=5.3901 c=5.3901 alpha=60.00 beta=60.00 gamma=60.00
With the nearest neighbours (Å) after each atom.
Atoms (fractional coordinates):
Rb (0.0000, 0.0000, 0.0000)  4 Au 3.30, 4 As 3.30
Na (0.5000, 0.5000, 0.5000)  4 As 3.30, 4 Au 3.30
As (0.2500, 0.2500, 0.2500)  4 Na 3.30, 4 Rb 3.30
Au (0.7500, 0.7500, 0.7500)  4 Rb 3.30, 4 Na 3.30

18.
This record from OQMD via LeMat-Bulk describes a geometry-optimized RbNaAsAu structure. The functional is PBE.

For the energy, the calculation gives -2.97 eV/atom. Its crystal system is orthorhombic. For the offset from the most stable computed form, the calculation gives 34 meV/atom.

Unit cell a=6.2816 b=6.2111 c=6.2111 alpha=105.62 beta=90.00 gamma=90.00
With the nearest neighbours (Å) after each atom.
Atoms (fractional coordinates):
Rb (0.0000, 0.1743, 0.8257)  4 As 3.34-3.64, 1 Rb 3.45, 2 Au 3.59
Rb (0.0000, 0.8257, 0.1743)  4 As 3.34-3.64, 1 Rb 3.45, 2 Au 3.59
Na (0.5000, 0.5178, 0.8680)  4 As 3.31-3.63, 2 Au 3.41, 1 Na 3.47
Na (0.5000, 0.8680, 0.5178)  4 As 3.31-3.63, 2 Au 3.41, 1 Na 3.47
As (0.0000, 0.6157, 0.6157)  2 Au 2.52
As (0.5000, 0.0878, 0.0878)  2 Au 2.54
Au (0.2575, 0.3591, 0.3591)  2 As 2.52-2.54
Au (0.7425, 0.3591, 0.3591)  2 As 2.52-2.54

19.
This record from OQMD via LeMat-Bulk describes a geometry-optimized RbNaAsAu structure. The functional is PBE.

For the energy, the calculation gives -2.64 eV/atom. Its crystal system is cubic. For the offset from the most stable computed form, the calculation gives 371 meV/atom.

Unit cell a=5.1708 b=5.1708 c=5.1708 alpha=60.00 beta=60.00 gamma=60.00
With the nearest neighbours (Å) after each atom.
Atoms (fractional coordinates):
Rb (0.0000, 0.0000, 0.0000)  4 As 3.17, 4 Na 3.17
Na (0.2500, 0.2500, 0.2500)  4 Au 3.17, 4 Rb 3.17
As (0.7500, 0.7500, 0.7500)  4 Au 3.17, 4 Rb 3.17
Au (0.5000, 0.5000, 0.5000)  4 As 3.17, 4 Na 3.17

20.
This record from OQMD via LeMat-Bulk describes a geometry-optimized RbNaAsAu structure. The functional is PBE.

For the energy, the calculation gives -2.64 eV/atom. Its crystal system is cubic. For the offset from the most stable computed form, the calculation gives 373 meV/atom.

Unit cell a=5.1971 b=5.1971 c=5.1971 alpha=60.00 beta=60.00 gamma=60.00
With the nearest neighbours (Å) after each atom.
Atoms (fractional coordinates):
Rb (0.0000, 0.0000, 0.0000)  4 Au 3.18, 4 Na 3.18
Na (0.2500, 0.2500, 0.2500)  4 As 3.18, 4 Rb 3.18
As (0.5000, 0.5000, 0.5000)  4 Na 3.18, 4 Au 3.18
Au (0.7500, 0.7500, 0.7500)  4 As 3.18, 4 Rb 3.18